Model P:
Density functional theory data (PBE-GGA) for crystalline Lu2ThZr at its relaxed geometry.

```
4
Lattice="4.766 0.000 0.000 0.000 4.766 0.000 0.000 0.000 4.938" Properties=species:S:1:pos:R:3 pbc="T T T"
Lu 0.000 2.383 0.000
Lu 2.383 0.000 0.000
Th 0.000 0.000 2.469
Zr 2.383 2.383 2.469
```

Output
Its symmetry is P4/mmm. As for the calculated volume: 28.04 A^3/atom. Its density of states at the Fermi level is 4.43 states/eV/cell. The size of the total moment is 0.00 μB/f.u.

Model Q:
Density functional theory data (PBE-GGA) for crystalline Lu2ThZr at its relaxed geometry.

```
4
Lattice="4.013 0.000 0.000 0.000 4.013 0.000 0.000 0.000 7.032" Properties=species:S:1:pos:R:3 pbc="T T T"
Lu 0.000 0.000 1.639
Lu 0.000 0.000 5.393
Th 2.006 2.006 3.516
Zr 2.006 2.006 0.000
```

Output
Its symmetry is P4/mmm. As for the calculated volume: 28.31 A^3/atom. Its density of states at the Fermi level is 7.02 states/eV/cell. The size of the total moment is 0.00 μB/f.u.

Stability check: which of them is least stable? model Q.